MgNbCo2O6 (PBE with a Hubbard U, relaxed); uncorrected energy = -7.018 eV/atom; crystal system = trigonal; DOS at the Fermi energy = 0.000 states/eV/atom
1.0
2.548 1.471 4.698
-2.548 1.471 4.698
0.000 -2.942 4.698
Mg Nb Co O
1 1 2 6
direct
0.000 0.000 0.000
0.509 0.509 0.509
0.202 0.202 0.202
0.713 0.713 0.713
0.120 0.408 0.810
0.310 0.924 0.580
0.408 0.810 0.120
0.580 0.310 0.924
0.810 0.120 0.408
0.924 0.580 0.310